Record 1
DFT (PBE) results for BeCoIr2 after structural relaxation.

```
data_BeCoIr2
_cell_length_a 3.8912
_cell_length_b 3.8912
_cell_length_c 12.0935
_cell_angle_alpha 90.00
_cell_angle_beta 90.00
_cell_angle_gamma 120.00
_space_group_name_H-M_alt 'R 3 m'
_space_group_IT_number 160
_space_group_name_Hall 'R 3 -2"'
loop_
_atom_site_label
_atom_site_type_symbol
_atom_site_fract_x
_atom_site_fract_y
_atom_site_fract_z
Be1 Be 0.0000 0.0000 0.0000
Co1 Co 0.0000 0.0000 0.8108
Ir1 Ir 0.0000 0.0000 0.3839
Ir2 Ir 0.0000 0.0000 0.5921
```

Values from the calculation:
DFT formation energy	0.06	eV/atom
calculated volume	13.2	A^3/atom

=====

Record 2
DFT (PBE) results for BeCo2Ir after structural relaxation.

```
data_BeCo2Ir
_cell_length_a 4.849
_cell_length_b 7.187
_cell_length_c 2.576
_cell_angle_alpha 90.00
_cell_angle_beta 90.00
_cell_angle_gamma 90.00
_space_group_name_H-M_alt 'C m m m'
_space_group_IT_number 65
_space_group_name_Hall '-C 2 2'
loop_
_atom_site_label
_atom_site_type_symbol
_atom_site_fract_x
_atom_site_fract_y
_atom_site_fract_z
Be1 Be 0.000 0.000 0.000
Co1 Co 0.250 0.250 0.500
Ir1 Ir 0.000 0.500 0.000
```

Values from the calculation:
DFT formation energy	-0.03	eV/atom
calculated volume	11.2	A^3/atom